1.
First-principles (GGA-PBEsol) data for crystalline Co2IrPt at its relaxed geometry, as listed in Alexandria.

Lattice parameters (Å, degrees): 2.6371 3.5600 5.2926 90.00 90.00 90.00
Space group Pmmm (No. 47)
Inequivalent atoms, fractional coordinates:
Co  0.0000  0.0000  0.2383 [2 per cell]
Ir  0.5000  0.5000  0.0000 [1 per cell]
Pt  0.5000  0.5000  0.5000 [1 per cell]

- Total moment: 2.58 μB per formula unit
- DOS at the Fermi energy: 5.829 states/eV per cell
- Calculated volume: 49.7 Å³ per cell

2.
First-principles (GGA-PBEsol) data for crystalline Co2IrPt at its relaxed geometry, as listed in Alexandria.

Lattice parameters (Å, degrees): 5.2807 7.1868 2.6352 90.00 90.00 90.00
Space group Cmmm (No. 65)
Inequivalent atoms, fractional coordinates:
Co  0.2500  0.2500  0.0000 [4 per cell]
Ir  0.0000  0.0000  0.5000 [2 per cell]
Pt  0.0000  0.5000  0.5000 [2 per cell]

- Total moment: 3.38 μB per formula unit
- DOS at the Fermi energy: 11.838 states/eV per cell
- Calculated volume: 100.0 Å³ per cell

3.
First-principles (GGA-PBEsol) data for crystalline CoIrPt at its relaxed geometry, as listed in Alexandria.

Lattice parameters (Å, degrees): 2.6795 2.6795 6.4355 90.00 90.00 120.00
Space group P3m1 (No. 156)
Inequivalent atoms, fractional coordinates:
Co  0.0000  0.0000  0.0000 [1 per cell]
Ir  0.3333  0.6667  0.6903 [1 per cell]
Pt  0.6667  0.3333  0.3266 [1 per cell]

- Total moment: 1.93 μB per formula unit
- DOS at the Fermi energy: 4.117 states/eV per cell
- Calculated volume: 40.0 Å³ per cell

4.
First-principles (GGA-PBEsol) data for crystalline Co2IrPt at its relaxed geometry, as listed in Alexandria.

Lattice parameters (Å, degrees): 8.6851 2.6382 4.4719 90.00 101.20 90.00
Space group Cm (No. 8)
Inequivalent atoms, fractional coordinates:
Co  0.0000  0.0000  0.0000 [2 per cell]
Co  0.2418  0.5000  0.2497 [2 per cell]
Ir  0.4900  0.0000  0.4778 [2 per cell]
Pt  0.2468  0.0000  0.7603 [2 per cell]

- Total moment: 3.56 μB per formula unit
- DOS at the Fermi energy: 11.573 states/eV per cell
- Calculated volume: 100.5 Å³ per cell

no.,DFT formation energy (eV per atom)
1,0.01
2,0.01
3,0.03
4,0.03